First-principles (PBE) data for an optimized crystal structure of Ti2GaAu2, as listed in Alexandria via LeMat-Bulk.

abc: 5.3699 12.9554 5.0032
angles: 90.00 90.00 90.00
Space group Ibam (No. 72)
Symmetry-distinct sites (fractional):
Ti (0.1587, 0.1860, 0.0000) [8 per cell]
Ga (0.0000, 0.0000, 0.2500) [4 per cell]
Au (0.1354, 0.3951, 0.0000) [8 per cell]

## Properties
The energy above the lowest structure with this stoichiometry is 74 kJ/mol of formula units.

First-principles (PBE) data for an optimized crystal structure of MnNiGe, as listed in Alexandria via LeMat-Bulk.

abc: 6.1747 6.1747 3.5940
angles: 90.00 90.00 120.00
Space group P-62m (No. 189)
Symmetry-distinct sites (fractional):
Mn (0.0000, 0.5852, 0.0000) [3 per cell]
Ni (0.0000, 0.2518, 0.5000) [3 per cell]
Ge (0.0000, 0.0000, 0.0000) [1 per cell]
Ge (0.3333, 0.6667, 0.5000) [2 per cell]

## Properties
Its final energy is -60.94 eV per cell.

First-principles (PBE) data for an optimized crystal structure of BaLiCd2In, as listed in Alexandria via LeMat-Bulk.

abc: 4.9700 4.9700 11.7579
angles: 90.00 90.00 90.00
Space group I-4m2 (No. 119)
Symmetry-distinct sites (fractional):
Ba (0.0000, 0.0000, 0.0000) [2 per cell]
Li (0.0000, 0.5000, 0.7500) [2 per cell]
Cd (0.0000, 0.0000, 0.3773) [4 per cell]
In (0.0000, 0.5000, 0.2500) [2 per cell]

## Properties
The energy above the lowest structure with this stoichiometry is 0 kJ/mol of formula units.

First-principles (PBE) data for an optimized crystal structure of BaCaVN2, as listed in Alexandria via LeMat-Bulk.

abc: 4.2403 4.2403 4.5311
angles: 90.00 90.00 90.00
Space group P4/mmm (No. 123)
Symmetry-distinct sites (fractional):
Ba (0.0000, 0.0000, 0.0000) [1 per cell]
Ca (0.5000, 0.5000, 0.0000) [1 per cell]
V (0.5000, 0.5000, 0.5000) [1 per cell]
N (0.0000, 0.5000, 0.5000) [2 per cell]

## Properties
For the formation energy (no corrections), the calculation gives 0.618 eV per atom.

First-principles (PBE) data for an optimized crystal structure of Sc2TaAg, as listed in Alexandria via LeMat-Bulk.

abc: 3.0267 3.0267 8.9677
angles: 90.00 90.00 90.00
Space group P4mm (No. 99)
Symmetry-distinct sites (fractional):
Sc (0.0000, 0.0000, 0.0000) [1 per cell]
Sc (0.5000, 0.5000, 0.2975) [1 per cell]
Ta (0.0000, 0.0000, 0.5324) [1 per cell]
Ag (0.5000, 0.5000, 0.7638) [1 per cell]

## Properties
The energy above the lowest structure with this stoichiometry is 58 kJ/mol of formula units.

First-principles (PBE) data for an optimized crystal structure of PrSm5Dy2Sc, as listed in Alexandria via LeMat-Bulk.

abc: 5.6414 20.1188 10.4801
angles: 90.00 90.00 90.00
Space group Cmc2_1 (No. 36)
Symmetry-distinct sites (fractional):
Pr (0.0000, 0.0894, 0.0000) [4 per cell]
Sm (0.0000, 0.0170, 0.2851) [4 per cell]
Sm (0.0000, 0.1248, 0.5629) [4 per cell]
Sm (0.0000, 0.2023, 0.2501) [4 per cell]
Sm (0.0000, 0.2237, 0.8650) [4 per cell]
Sm (0.0000, 0.4826, 0.5605) [4 per cell]
Dy (0.0000, 0.3846, 0.2789) [4 per cell]
Dy (0.0000, 0.3871, 0.8560) [4 per cell]
Sc (0.0000, 0.3047, 0.5580) [4 per cell]

## Properties
Its final energy is -169.68 eV per cell.

First-principles (PBE) data for an optimized crystal structure of Ac8Ir3SeBr4, as listed in Alexandria via LeMat-Bulk.

abc: 8.9021 8.9021 24.4812
angles: 90.00 90.00 120.00
Space group R-3m (No. 166, hexagonal axes)
Symmetry-distinct sites (fractional):
Ac (0.0000, 0.0000, 0.2309) [6 per cell]
Ac (0.0201, 0.5100, 0.7672) [18 per cell]
Ir (0.0000, 0.5000, 0.5000) [9 per cell]
Se (0.0000, 0.0000, 0.5000) [3 per cell]
Br (0.0000, 0.0000, 0.0000) [3 per cell]
Br (0.0000, 0.5000, 0.0000) [9 per cell]

## Properties
For the formation energy (no corrections), the calculation gives -1.247 eV per atom.

First-principles (PBE) data for an optimized crystal structure of PmNd2SnC, as listed in Alexandria via LeMat-Bulk.

abc: 5.1082 5.1082 5.0677
angles: 90.00 90.00 90.00
Space group P4/mmm (No. 123)
Symmetry-distinct sites (fractional):
Pm (0.0000, 0.0000, 0.0000) [1 per cell]
Nd (0.0000, 0.5000, 0.5000) [2 per cell]
Sn (0.5000, 0.5000, 0.0000) [1 per cell]
C (0.0000, 0.0000, 0.5000) [1 per cell]

## Properties
Its final energy is -29.93 eV per cell.

First-principles (PBE) data for an optimized crystal structure of BaSrLaNbO6, as listed in Alexandria via LeMat-Bulk.

abc: 8.7324 8.7324 8.7324
angles: 90.00 90.00 90.00
Space group F-43m (No. 216)
Symmetry-distinct sites (fractional):
Ba (0.0000, 0.0000, 0.0000) [4 per cell]
Sr (0.0000, 0.0000, 0.5000) [4 per cell]
La (0.2500, 0.2500, 0.2500) [4 per cell]
Nb (0.2500, 0.2500, 0.7500) [4 per cell]
O (0.0189, 0.2500, 0.7500) [24 per cell]

## Properties
For the formation energy (no corrections), the calculation gives -2.903 eV per atom.

First-principles (PBE) data for an optimized crystal structure of AgTeN2Cl, as listed in Alexandria via LeMat-Bulk.

abc: 4.1573 4.1573 6.3258
angles: 90.00 90.00 90.00
Space group P4/mmm (No. 123)
Symmetry-distinct sites (fractional):
Ag (0.0000, 0.0000, 0.0000) [1 per cell]
Te (0.0000, 0.0000, 0.5000) [1 per cell]
N (0.0000, 0.5000, 0.0000) [2 per cell]
Cl (0.5000, 0.5000, 0.5000) [1 per cell]

## Properties
For the formation energy (no corrections), the calculation gives 1.695 eV per atom. The energy above the lowest structure with this stoichiometry is 0 kJ/mol of formula units.

First-principles (PBE) data for an optimized crystal structure of LiTh2Si3Ir4, as listed in Alexandria via LeMat-Bulk.

abc: 4.1362 4.1362 10.2044
angles: 90.00 90.00 90.00
Space group P-4m2 (No. 115)
Symmetry-distinct sites (fractional):
Li (0.0000, 0.0000, 0.0000) [1 per cell]
Th (0.0000, 0.5000, 0.7590) [2 per cell]
Si (0.0000, 0.5000, 0.3727) [2 per cell]
Si (0.5000, 0.5000, 0.0000) [1 per cell]
Ir (0.0000, 0.0000, 0.5000) [1 per cell]
Ir (0.0000, 0.5000, 0.1392) [2 per cell]
Ir (0.5000, 0.5000, 0.5000) [1 per cell]

## Properties
For the formation energy (no corrections), the calculation gives -0.982 eV per atom.

First-principles (PBE) data for an optimized crystal structure of Hg2SbIrS, as listed in Alexandria via LeMat-Bulk.

abc: 5.5878 5.5878 4.9925
angles: 90.00 90.00 90.00
Space group P4/mmm (No. 123)
Symmetry-distinct sites (fractional):
Hg (0.0000, 0.5000, 0.0000) [2 per cell]
Sb (0.0000, 0.0000, 0.0000) [1 per cell]
Ir (0.5000, 0.5000, 0.5000) [1 per cell]
S (0.0000, 0.0000, 0.5000) [1 per cell]

## Properties
For the formation energy (no corrections), the calculation gives 1.302 eV per atom.

First-principles (PBE) data for an optimized crystal structure of MnReHg2Mo, as listed in Alexandria via LeMat-Bulk.

abc: 5.1928 5.1928 4.7157
angles: 90.00 90.00 90.00
Space group P4/mmm (No. 123)
Symmetry-distinct sites (fractional):
Mn (0.0000, 0.0000, 0.0000) [1 per cell]
Re (0.5000, 0.5000, 0.5000) [1 per cell]
Hg (0.0000, 0.5000, 0.5000) [2 per cell]
Mo (0.5000, 0.5000, 0.0000) [1 per cell]

## Properties
Its final energy is -23.00 eV per cell.

First-principles (PBE) data for an optimized crystal structure of Pd2ICl, as listed in Alexandria via LeMat-Bulk.

abc: 6.8120 6.8120 6.8120
angles: 90.00 90.00 90.00
Space group Fm-3m (No. 225)
Symmetry-distinct sites (fractional):
Pd (0.2500, 0.2500, 0.2500) [8 per cell]
I (0.0000, 0.0000, 0.0000) [4 per cell]
Cl (0.0000, 0.0000, 0.5000) [4 per cell]

## Properties
For the formation energy (no corrections), the calculation gives 0.229 eV per atom. The energy above the lowest structure with this stoichiometry is 67 kJ/mol of formula units.

First-principles (PBE) data for an optimized crystal structure of MoPSe, as listed in Alexandria via LeMat-Bulk.

abc: 4.6895 4.6895 2.5919
angles: 90.00 90.00 120.00
Space group P-6m2 (No. 187)
Symmetry-distinct sites (fractional):
Mo (0.0000, 0.0000, 0.0000) [1 per cell]
P (0.6667, 0.3333, 0.0000) [1 per cell]
Se (0.3333, 0.6667, 0.0000) [1 per cell]

## Properties
For the formation energy (no corrections), the calculation gives 0.284 eV per atom. The energy above the lowest structure with this stoichiometry is 163 kJ/mol of formula units.

First-principles (PBE) data for an optimized crystal structure of SbTe2Br8, as listed in Alexandria via LeMat-Bulk.

abc: 14.3582 7.5941 7.8959
angles: 90.00 92.09 90.00
Space group C2/m (No. 12)
Symmetry-distinct sites (fractional):
Sb (0.0000, 0.0000, 0.0000) [2 per cell]
Te (0.1392, 0.0000, 0.4540) [4 per cell]
Br (0.0446, 0.2403, 0.7468) [8 per cell]
Br (0.1936, 0.0000, 0.1353) [4 per cell]
Br (0.2000, 0.5000, 0.4145) [4 per cell]

## Properties
For the formation energy (no corrections), the calculation gives -0.269 eV per atom.

First-principles (PBE) data for an optimized crystal structure of K2RbTiF6, as listed in Alexandria via LeMat-Bulk.

abc: 9.2239 9.2239 9.2239
angles: 90.00 90.00 90.00
Space group Fm-3m (No. 225)
Symmetry-distinct sites (fractional):
K (0.2500, 0.2500, 0.2500) [8 per cell]
Rb (0.0000, 0.0000, 0.0000) [4 per cell]
Ti (0.0000, 0.0000, 0.5000) [4 per cell]
F (0.0000, 0.0000, 0.2845) [24 per cell]

## Properties
For the formation energy (no corrections), the calculation gives -2.983 eV per atom.

First-principles (PBE) data for an optimized crystal structure of PmNdHoZn, as listed in Alexandria via LeMat-Bulk.

abc: 3.6221 3.6221 8.7631
angles: 90.00 90.00 90.00
Space group P4mm (No. 99)
Symmetry-distinct sites (fractional):
Pm (0.0000, 0.0000, 0.0000) [1 per cell]
Nd (0.5000, 0.5000, 0.3019) [1 per cell]
Ho (0.0000, 0.0000, 0.5920) [1 per cell]
Zn (0.5000, 0.5000, 0.7830) [1 per cell]

## Properties
The energy above the lowest structure with this stoichiometry is 0 kJ/mol of formula units.

First-principles (PBE) data for an optimized crystal structure of CoMo2Au, as listed in Alexandria via LeMat-Bulk.

abc: 3.8034 3.8034 8.2303
angles: 90.00 90.00 90.00
Space group I4/mmm (No. 139)
Symmetry-distinct sites (fractional):
Co (0.0000, 0.0000, 0.0000) [2 per cell]
Mo (0.0000, 0.5000, 0.2500) [4 per cell]
Au (0.0000, 0.0000, 0.5000) [2 per cell]

## Properties
The energy above the lowest structure with this stoichiometry is 22 kJ/mol of formula units.

First-principles (PBE) data for an optimized crystal structure of Tb2Sm3Cd, as listed in Alexandria via LeMat-Bulk.

abc: 10.5896 6.1294 11.3675
angles: 90.00 90.00 90.00
Space group Cmcm (No. 63)
Symmetry-distinct sites (fractional):
Tb (0.1687, 0.1686, 0.2500) [8 per cell]
Sm (0.0000, 0.0000, 0.0000) [4 per cell]
Sm (0.1602, 0.5000, 0.0000) [8 per cell]
Cd (0.0000, 0.3284, 0.7500) [4 per cell]

## Properties
The energy above the lowest structure with this stoichiometry is 35 kJ/mol of formula units.

First-principles (PBE) data for an optimized crystal structure of CaTb2Ho, as listed in Alexandria via LeMat-Bulk.

abc: 3.6086 3.6086 10.3704
angles: 90.00 90.00 90.00
Space group P4/mmm (No. 123)
Symmetry-distinct sites (fractional):
Ca (0.0000, 0.0000, 0.0000) [1 per cell]
Tb (0.5000, 0.5000, 0.2696) [2 per cell]
Ho (0.0000, 0.0000, 0.5000) [1 per cell]

## Properties
The energy above the lowest structure with this stoichiometry is 4 kJ/mol of formula units.

First-principles (PBE) data for an optimized crystal structure of ZrAgSe, as listed in Alexandria via LeMat-Bulk.

abc: 6.5524 6.5524 6.5524
angles: 90.00 90.00 90.00
Space group F-43m (No. 216)
Symmetry-distinct sites (fractional):
Zr (0.0000, 0.0000, 0.0000) [4 per cell]
Ag (0.2500, 0.2500, 0.2500) [4 per cell]
Se (0.2500, 0.2500, 0.7500) [4 per cell]

## Properties
For the formation energy (no corrections), the calculation gives -0.197 eV per atom. The energy above the lowest structure with this stoichiometry is 91 kJ/mol of formula units.

First-principles (PBE) data for an optimized crystal structure of Ba2GePb, as listed in Alexandria via LeMat-Bulk.

abc: 4.5693 10.0147 6.6760
angles: 90.00 90.00 90.00
Space group Imm2 (No. 44)
Symmetry-distinct sites (fractional):
Ba (0.0000, 0.2001, 0.0000) [4 per cell]
Ge (0.0000, 0.5000, 0.2642) [2 per cell]
Pb (0.0000, 0.0000, 0.4856) [2 per cell]

## Properties
The energy above the lowest structure with this stoichiometry is 24 kJ/mol of formula units.

First-principles (PBE) data for an optimized crystal structure of Pu2TcF, as listed in Alexandria via LeMat-Bulk.

abc: 3.1902 3.1902 7.4803
angles: 90.00 90.00 90.00
Space group P4/mmm (No. 123)
Symmetry-distinct sites (fractional):
Pu (0.0000, 0.0000, 0.2424) [2 per cell]
Tc (0.5000, 0.5000, 0.0000) [1 per cell]
F (0.5000, 0.5000, 0.5000) [1 per cell]

## Properties
For the formation energy (no corrections), the calculation gives -0.928 eV per atom.

First-principles (PBE) data for an optimized crystal structure of Ac6P2Se3N, as listed in Alexandria via LeMat-Bulk.

abc: 7.5059 12.9737 7.7076
angles: 90.00 108.97 90.00
Space group C2/m (No. 12)
Symmetry-distinct sites (fractional):
Ac (0.2308, 0.1570, 0.2218) [8 per cell]
Ac (0.2391, 0.0000, 0.7757) [4 per cell]
P (0.0000, 0.3339, 0.0000) [4 per cell]
Se (0.0000, 0.1729, 0.5000) [4 per cell]
Se (0.0000, 0.5000, 0.5000) [2 per cell]
N (0.0000, 0.0000, 0.0000) [2 per cell]

## Properties
For the formation energy (no corrections), the calculation gives -1.629 eV per atom.